No. 1
Entry from the Alexandria database: crystalline ScMnTe2 at its relaxed geometry (GGA-PBE).

The space group is P2/m (No. 10) and the conventional cell measures 3.7602, 3.7105 and 7.0678 Å, with angles of 90.00, 100.15 and 90.00 degrees. The asymmetric unit holds Sc at (0.0000, 0.0000, 0.0000), Mn at (0.0000, 0.0000, 0.5000) and Te at (0.3677, 0.5000, 0.7557).

The energy relative to the elements, uncorrected comes out at -0.407 eV/atom.



No. 2
Entry from the Alexandria database: crystalline PrErNiPt at its relaxed geometry (GGA-PBE).

The space group is F-43m (No. 216) and the conventional cell measures 7.0152, 7.0152 and 7.0152 Å, with angles of 90.00, 90.00 and 90.00 degrees. The asymmetric unit holds Pr at (0.0000, 0.0000, 0.0000), Er at (0.0000, 0.0000, 0.5000), Ni at (0.2500, 0.2500, 0.7500) and Pt at (0.2500, 0.2500, 0.2500).

Its polymorph energy (0 for the lowest one) is 91 meV per atom.



No. 3
Entry from the Alexandria database: crystalline PaZn3Si at its relaxed geometry (GGA-PBE).

The space group is Amm2 (No. 38) and the conventional cell measures 4.3556, 4.3034 and 10.5572 Å, with angles of 90.00, 90.00 and 90.00 degrees. The asymmetric unit holds Pa at (0.0000, 0.0000, 0.0000), Zn at (0.0000, 0.0000, 0.3022), Zn at (0.5000, 0.0000, 0.4610), Zn at (0.5000, 0.0000, 0.8042) and Si at (0.0000, 0.0000, 0.6841).

The energy relative to the elements, uncorrected comes out at 0.027 eV/atom.



No. 4
Entry from the Alexandria database: crystalline YZr2Rh2 at its relaxed geometry (GGA-PBE).

The space group is P4/mbm (No. 127) and the conventional cell measures 7.7763, 7.7763 and 3.3838 Å, with angles of 90.00, 90.00 and 90.00 degrees. The asymmetric unit holds Y at (0.0000, 0.0000, 0.0000), Zr at (0.1576, 0.3424, 0.5000) and Rh at (0.1324, 0.6324, 0.0000).

Its polymorph energy (0 for the lowest one) is 0 meV per atom.



No. 5
Entry from the Alexandria database: crystalline Tc2RuBr at its relaxed geometry (GGA-PBE).

The space group is C2 (No. 5) and the conventional cell measures 6.0902, 5.8212 and 4.6813 Å, with angles of 90.00, 129.93 and 90.00 degrees. The asymmetric unit holds Tc at (0.0000, 0.0000, 0.0000), Tc at (0.0000, 0.2081, 0.5000), Ru at (0.0000, 0.5004, 0.0000) and Br at (0.0000, 0.6439, 0.5000).

Its polymorph energy (0 for the lowest one) is 420 meV per atom. The energy relative to the elements, uncorrected comes out at 0.937 eV/atom.



No. 6
Entry from the Alexandria database: crystalline Zr2CdW at its relaxed geometry (GGA-PBE).

The space group is C2/m (No. 12) and the conventional cell measures 9.7824, 2.9238 and 5.7599 Å, with angles of 90.00, 95.27 and 90.00 degrees. The asymmetric unit holds Zr at (0.2483, 0.0000, 0.2647), Cd at (0.0000, 0.5000, 0.0000) and W at (0.0000, 0.0000, 0.5000).

For the total DFT energy (no corrections), the calculation gives -59.63 eV per cell.